Record 1
KRb2OsO4 | PBE | relaxed

The structure belongs to space group I-4 (No. 82); the cell edges are 6.5780, 6.5780 and 7.5769 Å and the angles 90.00°, 90.00° and 90.00°. The distinct sites, in fractional coordinates, are K at (0.0000, 0.0000, 0.0000), Rb at (0.0000, 0.0000, 0.5000), Rb at (0.0000, 0.5000, 0.7500), Os at (0.0000, 0.5000, 0.2500) and O at (0.1875, 0.7096, 0.2275).

The calculation puts the raw total energy at -89.584 eV for the cell shown.

***

Record 2
K4RbOs3O12 | PBE | relaxed

The structure belongs to space group Im-3m (No. 229); the cell edges are 8.3846, 8.3846 and 8.3846 Å and the angles 90.00°, 90.00° and 90.00°. The distinct sites, in fractional coordinates, are K at (0.2500, 0.2500, 0.2500), Rb at (0.0000, 0.0000, 0.0000), Os at (0.0000, 0.0000, 0.5000), O at (0.0000, 0.0000, 0.2888) and O at (0.0000, 0.2500, 0.5000).

The calculation puts the raw total energy at -241.410 eV for the cell shown.

***

Q: Which of these has the lowest raw total energy?
A: K4RbOs3O12

***

Q: Which of these has the lowest raw total energy?
A: K4RbOs3O12

***

Q: Among the records above, which one has the lowest raw total energy?
A: K4RbOs3O12

***

Q: Which formula does entry 2 have?
A: K4RbOs3O12